1.
Crystalline PrPuRhO6 at its relaxed geometry. Source: the Alexandria database, functional PBE.

Calculated values
density of states at the Fermi level = 13.818 states/eV/cell

```
data_PrPuRhO6
_chemical_formula_sum 'Pr2 Pu2 Rh2 O12'
_space_group_name_H-M_alt 'P 1'
_space_group_IT_number 1
_cell_length_a 5.306
_cell_length_b 5.306
_cell_length_c 10.741
_cell_angle_alpha 90.00
_cell_angle_beta 90.00
_cell_angle_gamma 120.00
loop_
_space_group_symop_operation_xyz
'x,y,z'
loop_
_atom_site_label
_atom_site_type_symbol
_atom_site_fract_x
_atom_site_fract_y
_atom_site_fract_z
_atom_site_occupancy
Pu1 Pu 0.333 0.667 0.750 1
Pu2 Pu 0.667 0.333 0.250 1
O1 O 0.350 0.357 0.359 1
O2 O 0.357 0.008 0.641 1
O3 O 0.992 0.350 0.641 1
O4 O 0.992 0.643 0.859 1
O5 O 0.643 0.992 0.359 1
O6 O 0.008 0.357 0.141 1
O7 O 0.650 0.643 0.641 1
O8 O 0.008 0.650 0.359 1
O9 O 0.650 0.008 0.859 1
O10 O 0.350 0.992 0.141 1
O11 O 0.643 0.650 0.141 1
O12 O 0.357 0.350 0.859 1
Pr1 Pr 0.000 0.000 0.000 1
Pr2 Pr 0.000 0.000 0.500 1
Rh1 Rh 0.333 0.667 0.250 1
Rh2 Rh 0.667 0.333 0.750 1
```

=====

2.
Crystalline Pr2PuScO8 at its relaxed geometry. Source: the Alexandria database, functional PBE.

Calculated values
density of states at the Fermi level = 0.042 states/eV/cell

```
data_Pr2PuScO8
_chemical_formula_sum 'Pr2 Pu1 Sc1 O8'
_space_group_name_H-M_alt 'P 1'
_space_group_IT_number 1
_cell_length_a 4.119
_cell_length_b 5.517
_cell_length_c 7.565
_cell_angle_alpha 94.34
_cell_angle_beta 88.95
_cell_angle_gamma 97.92
loop_
_space_group_symop_operation_xyz
'x,y,z'
loop_
_atom_site_label
_atom_site_type_symbol
_atom_site_fract_x
_atom_site_fract_y
_atom_site_fract_z
_atom_site_occupancy
O1 O 0.584 0.784 0.008 1
O2 O 0.416 0.216 0.992 1
O3 O 0.580 0.763 0.527 1
O4 O 0.047 0.781 0.249 1
O5 O 0.072 0.766 0.801 1
O6 O 0.953 0.219 0.751 1
O7 O 0.420 0.237 0.473 1
O8 O 0.928 0.234 0.199 1
Pr1 Pr 0.492 0.529 0.263 1
Pr2 Pr 0.508 0.471 0.737 1
Pu1 Pu 0.000 0.000 0.000 1
Sc1 Sc 0.000 0.000 0.500 1
```

=====

3.
Crystalline PrPu2SeO4 at its relaxed geometry. Source: the Alexandria database, functional PBE.

Calculated values
density of states at the Fermi level = 13.957 states/eV/cell

```
data_PrPu2SeO4
_chemical_formula_sum 'Pr1 Pu2 Se1 O4'
_space_group_name_H-M_alt 'P 1'
_space_group_IT_number 1
_cell_length_a 3.924
_cell_length_b 3.924
_cell_length_c 8.937
_cell_angle_alpha 90.00
_cell_angle_beta 90.00
_cell_angle_gamma 90.00
loop_
_space_group_symop_operation_xyz
'x,y,z'
loop_
_atom_site_label
_atom_site_type_symbol
_atom_site_fract_x
_atom_site_fract_y
_atom_site_fract_z
_atom_site_occupancy
O1 O 0.500 0.000 0.832 1
O2 O 0.500 0.000 0.168 1
O3 O 0.000 0.500 0.832 1
O4 O 0.000 0.500 0.168 1
Se1 Se 0.000 0.000 0.500 1
Pu1 Pu 0.500 0.500 0.287 1
Pu2 Pu 0.500 0.500 0.713 1
Pr1 Pr 0.000 0.000 0.000 1
```

=====

4.
Crystalline PrPuSe2O at its relaxed geometry. Source: the Alexandria database, functional PBE.

Calculated values
density of states at the Fermi level = 11.987 states/eV/cell

```
data_PrPuSe2O
_chemical_formula_sum 'Pr2 Pu2 Se4 O2'
_space_group_name_H-M_alt 'P 1'
_space_group_IT_number 1
_cell_length_a 4.061
_cell_length_b 4.061
_cell_length_c 14.859
_cell_angle_alpha 90.00
_cell_angle_beta 90.00
_cell_angle_gamma 90.00
loop_
_space_group_symop_operation_xyz
'x,y,z'
loop_
_atom_site_label
_atom_site_type_symbol
_atom_site_fract_x
_atom_site_fract_y
_atom_site_fract_z
_atom_site_occupancy
Pr1 Pr 0.000 0.500 0.869 1
Pr2 Pr 0.500 0.000 0.131 1
Se1 Se 0.000 0.500 0.089 1
Se2 Se 0.500 0.000 0.911 1
Se3 Se 0.500 0.000 0.321 1
Se4 Se 0.000 0.500 0.679 1
O1 O 0.500 0.500 0.500 1
O2 O 0.000 0.000 0.500 1
Pu1 Pu 0.000 0.500 0.423 1
Pu2 Pu 0.500 0.000 0.577 1
```

=====

The records above yield uncorrected formation energy values of -2.30; -2.91; -2.84; -2.17 eV per atom, respectively.